Below is a relaxed AcPm2Mg3 crystal, with properties calculated at the PBE level.

Values from the calculation:
The calculation puts the formation energy from the elements at -0.092 eV/atom. The value obtained for the volume is 30.82 Å³ per atom.

Cell: 3.949 3.949 11.857 Å, 90.00 90.00 90.00°
Atoms (fractional coordinates):
Ac (0.500, 0.500, 0.500)
Pm (0.500, 0.500, 0.159)
Mg (0.000, 0.000, 0.686)
Mg (0.000, 0.000, 0.000)
Pm (0.500, 0.500, 0.841)
Mg (0.000, 0.000, 0.314)



Below is a relaxed AcPmMg crystal, with properties calculated at the PBE level.

Values from the calculation:
The value obtained for the distance to the lowest polymorph of the same formula is 0.00 eV/f.u. The calculation puts the formation energy from the elements at -0.036 eV/atom. The value obtained for the volume is 34.63 Å³ per atom.

Cell: 3.966 3.966 7.176 Å, 106.04 106.04 90.00°
Atoms (fractional coordinates):
Ac (0.275, 0.275, 0.550)
Pm (0.968, 0.968, 0.937)
Mg (0.607, 0.607, 0.214)



Below is a relaxed AcPm2Mg6 crystal, with properties calculated at the PBE level.

Values from the calculation:
The calculation puts the formation energy from the elements at -0.072 eV/atom. The value obtained for the volume is 28.59 Å³ per atom.

Cell: 3.483 9.237 9.237 Å, 120.00 90.00 90.00°
Atoms (fractional coordinates):
Mg (0.500, 0.339, 0.000)
Mg (0.500, 0.661, 0.661)
Mg (0.500, 0.000, 0.339)
Ac (0.000, 0.000, 0.000)
Mg (0.500, 0.339, 0.339)
Mg (0.500, 0.000, 0.661)
Mg (0.500, 0.661, 0.000)
Pm (0.000, 0.333, 0.667)
Pm (0.000, 0.667, 0.333)



Below is a relaxed Ac2Pm2Mg15 crystal, with properties calculated at the PBE level.

Values from the calculation:
The calculation puts the formation energy from the elements at -0.038 eV/atom. The value obtained for the volume is 27.14 Å³ per atom.

Cell: 8.068 8.068 8.068 Å, 83.47 83.47 83.47°
Atoms (fractional coordinates):
Mg (0.500, 0.000, 0.000)
Mg (0.295, 0.000, 0.705)
Mg (0.705, 0.295, 0.000)
Mg (0.295, 0.705, 0.000)
Pm (0.095, 0.095, 0.095)
Mg (0.705, 0.000, 0.295)
Mg (0.000, 0.705, 0.295)
Mg (0.647, 0.647, 0.155)
Mg (0.353, 0.845, 0.353)
Mg (0.000, 0.500, 0.000)
Mg (0.647, 0.155, 0.647)
Pm (0.905, 0.905, 0.905)
Mg (0.155, 0.647, 0.647)
Mg (0.845, 0.353, 0.353)
Ac (0.338, 0.338, 0.338)
Mg (0.000, 0.000, 0.500)
Ac (0.662, 0.662, 0.662)
Mg (0.353, 0.353, 0.845)
Mg (0.000, 0.295, 0.705)



Below is a relaxed Ac3Pm12Mg crystal, with properties calculated at the PBE level.

Values from the calculation:
The calculation puts the formation energy from the elements at 0.032 eV/atom. The value obtained for the volume is 35.44 Å³ per atom.

Cell: 5.223 5.223 20.783 Å, 90.00 90.00 90.00°
Atoms (fractional coordinates):
Pm (0.000, 0.500, 0.372)
Pm (0.500, 0.000, 0.118)
Pm (0.500, 0.500, 0.758)
Pm (0.000, 0.500, 0.882)
Ac (0.000, 0.000, 0.245)
Ac (0.000, 0.000, 0.500)
Pm (0.500, 0.500, 0.000)
Mg (0.000, 0.000, 0.000)
Pm (0.500, 0.000, 0.628)
Pm (0.500, 0.000, 0.882)
Pm (0.000, 0.500, 0.628)
Ac (0.000, 0.000, 0.755)
Pm (0.500, 0.000, 0.372)
Pm (0.000, 0.500, 0.118)
Pm (0.500, 0.500, 0.500)
Pm (0.500, 0.500, 0.242)



Below is a relaxed AcPm6Mg crystal, with properties calculated at the PBE level.

Values from the calculation:
The value obtained for the distance to the lowest polymorph of the same formula is 0.00 eV/f.u. The calculation puts the formation energy from the elements at 0.030 eV/atom. The value obtained for the volume is 34.13 Å³ per atom.

Cell: 5.181 6.323 9.591 Å, 76.30 74.33 65.81°
Atoms (fractional coordinates):
Ac (0.000, 0.500, 0.500)
Mg (0.000, 0.000, 0.000)
Pm (0.758, 0.603, 0.881)
Pm (0.506, 0.233, 0.756)
Pm (0.494, 0.767, 0.244)
Pm (0.752, 0.131, 0.364)
Pm (0.242, 0.397, 0.119)
Pm (0.248, 0.869, 0.636)